1.
Below is a geometry-optimized LiMn2CrCo structure, with properties calculated at the PBE level.

a = 4.2348 Å, b = 4.3559 Å, c = 4.2348 Å
α = 90.00°, β = 90.00°, γ = 90.00°
With the nearest neighbours (Å) after each atom.
Element x y z (fractional)
Cr 0.0000 0.0000 0.0000  4 Mn 2.12, 2 Li 2.18
Co 0.5000 0.5000 0.5000  4 Li 2.99, 8 Mn 3.04
Mn 0.5000 0.0000 0.0000  2 Cr 2.12
Li 0.0000 0.5000 0.0000  2 Cr 2.18
Mn 0.0000 0.0000 0.5000  2 Cr 2.12

Calculated values
Space group: No. 123
ΔH_f (0 K), eV/atom: 1.2112

2.
Below is a geometry-optimized MnBeRh structure, with properties calculated at the PBE level.

a = 6.0098 Å, b = 2.7630 Å, c = 4.1988 Å
α = 90.00°, β = 94.76°, γ = 76.71°
With the nearest neighbours (Å) after each atom.
Element x y z (fractional)
Be 0.3445 0.4084 0.1391  5 Rh 2.34-2.56, 2 Mn 2.48, 1 Be 2.51
Mn 0.9978 0.0813 0.9985  2 Mn 2.19, 2 Be 2.43
Rh 0.3165 0.9218 0.6465  6 Be 2.33-2.56, 2 Mn 2.48-2.55
Be 0.0099 0.5751 0.4767  4 Rh 2.31-2.33, 2 Mn 2.43, 1 Be 2.51
Mn 0.7061 0.7268 0.9693  2 Mn 2.19
Rh 0.6919 0.2337 0.4617  3 Be 2.31-2.34, 4 Mn 2.49-2.54

Calculated values
Energy above the most stable polymorph in this dataset, meV per atom: 191
Space group: No. 8
ΔH_f (0 K), eV/atom: -0.1517

3.
Below is a geometry-optimized CrTeP2 structure, with properties calculated at the PBE level.

a = 5.2975 Å, b = 5.2975 Å, c = 5.2975 Å
α = 142.59°, β = 123.37°, γ = 69.86°
With the nearest neighbours (Å) after each atom.
Element x y z (fractional)
P 0.7884 0.2884 0.5000  2 P 2.36
P 0.9772 0.9772 0.0000  2 P 2.36, 2 Cr 2.56
Te 0.5364 0.5364 0.0000  6 P 2.77-3.08, 2 Cr 2.88
Cr 0.1980 0.6980 0.5000  2 P 2.56

Calculated values
Uncorrected formation energy, eV per atom: 0.48
Space group: No. 44

4.
Below is a geometry-optimized CuNi2Pt2 structure, with properties calculated at the PBE level.

a = 3.7007 Å, b = 5.3780 Å, c = 7.9829 Å
α = 120.15°, β = 103.40°, γ = 90.00°
With the nearest neighbours (Å) after each atom.
Element x y z (fractional)
Pt 0.6915 0.0378 0.3831  1 Cu 2.55, 4 Ni 2.63, 6 Pt 2.69-2.77
Pt 0.3084 0.4622 0.6169  1 Cu 2.55, 4 Ni 2.63, 6 Pt 2.69-2.77
Pt 0.3085 0.9622 0.6169  1 Cu 2.55, 4 Ni 2.63, 6 Pt 2.69-2.77
Ni 0.0936 0.1415 0.1873  3 Ni 2.49-2.69, 4 Cu 2.60-2.61, 4 Pt 2.63
Cu 0.5000 0.7500 0.0000  2 Pt 2.55, 8 Ni 2.60-2.61, 2 Cu 2.69
Ni 0.0937 0.6415 0.1873  3 Ni 2.49-2.69, 4 Cu 2.60-2.61, 4 Pt 2.63
Ni 0.9064 0.8585 0.8127  3 Ni 2.49-2.69, 4 Cu 2.60-2.61, 4 Pt 2.63
Cu 0.5000 0.2500 0.0000  2 Pt 2.55, 8 Ni 2.60-2.61, 2 Cu 2.69
Pt 0.6916 0.5378 0.3831  1 Cu 2.55, 4 Ni 2.63, 6 Pt 2.69-2.77
Ni 0.9063 0.3585 0.8127  3 Ni 2.49-2.69, 4 Cu 2.60-2.61, 4 Pt 2.63

Calculated values
Energy above the most stable polymorph in this dataset, meV per atom: 59
Space group: No. 12
ΔH_f (0 K), eV/atom: -0.0320

5.
Below is a geometry-optimized Na3Pu3CrSe8 structure, with properties calculated at the PBE level.

a = 8.1508 Å, b = 8.1556 Å, c = 8.4715 Å
α = 118.80°, β = 90.00°, γ = 119.98°
With the nearest neighbours (Å) after each atom.
Element x y z (fractional)
Se 0.2236 0.9884 0.7120  1 Cr 2.62, 2 Pu 2.87-2.88
Se 0.7648 0.9884 0.7120  1 Cr 2.62, 2 Pu 2.87-2.88
Se 0.2562 0.5125 0.2687  3 Pu 2.86, 3 Na 3.02
Se 0.7438 0.4875 0.7313  3 Pu 2.86, 3 Na 3.02
Pu 0.0000 0.5000 0.5000  6 Se 2.86-2.88
Se 0.7764 0.5529 0.2880  1 Cr 2.63, 2 Pu 2.87
Na 0.0000 0.0000 0.0000  6 Se 3.02-3.04
Na 0.0000 0.5000 0.0000  6 Se 3.02-3.04
Cr 0.0000 0.0000 0.5000  6 Se 2.62-2.63
Pu 0.5000 0.5000 0.5000  6 Se 2.86-2.88
Se 0.2352 0.0116 0.2880  1 Cr 2.62, 2 Pu 2.87-2.88
Se 0.2236 0.4471 0.7120  1 Cr 2.63, 2 Pu 2.87
Pu 0.5000 0.0000 0.5000  6 Se 2.86-2.87
Se 0.7764 0.0116 0.2880  1 Cr 2.62, 2 Pu 2.87-2.88
Na 0.5000 0.5000 0.0000  6 Se 3.02-3.04

Calculated values
Uncorrected formation energy, eV per atom: -1.20
Space group: No. 166

6.
Below is a geometry-optimized Tm5Cu4Ir structure, with properties calculated at the PBE level.

a = 3.4053 Å, b = 3.4053 Å, c = 17.1862 Å
α = 90.00°, β = 90.00°, γ = 90.00°
With the nearest neighbours (Å) after each atom.
Element x y z (fractional)
Cu 0.0000 0.0000 0.7996  8 Tm 2.94-3.00
Tm 0.5000 0.5000 0.7016  8 Cu 2.94-2.97
Tm 0.5000 0.5000 0.2984  8 Cu 2.94-2.97
Tm 0.5000 0.5000 0.5000  8 Cu 2.96
Tm 0.5000 0.5000 0.9039  4 Ir 2.92, 4 Cu 3.00
Ir 0.0000 0.0000 0.0000  8 Tm 2.92
Tm 0.5000 0.5000 0.0961  4 Ir 2.92, 4 Cu 3.00
Cu 0.0000 0.0000 0.2004  8 Tm 2.94-3.00
Cu 0.0000 0.0000 0.4000  8 Tm 2.96-2.97
Cu 0.0000 0.0000 0.6000  8 Tm 2.96-2.97

Calculated values
Space group: No. 123
ΔH_f (0 K), eV/atom: -0.4200

7.
Below is a geometry-optimized CaTlIN2 structure, with properties calculated at the PBE level.

a = 4.4260 Å, b = 4.4260 Å, c = 6.1697 Å
α = 90.00°, β = 90.00°, γ = 90.00°
With the nearest neighbours (Å) after each atom.
Element x y z (fractional)
Ca 0.5000 0.5000 0.5000  4 I 3.13
I 0.0000 0.0000 0.5000  2 Tl 3.08, 4 Ca 3.13
N 0.5000 0.0000 0.0000  2 Tl 2.21
Tl 0.0000 0.0000 0.0000  4 N 2.21
N 0.0000 0.5000 0.0000  2 Tl 2.21

Calculated values
Uncorrected formation energy, eV per atom: 1.03
Energy above the most stable polymorph in this dataset, meV per atom: 243
Space group: No. 123

8.
Below is a geometry-optimized TaFe2Ag structure, with properties calculated at the PBE level.

a = 3.4259 Å, b = 4.0455 Å, c = 4.0455 Å
α = 90.00°, β = 90.00°, γ = 90.00°
With the nearest neighbours (Å) after each atom.
Element x y z (fractional)
Fe 0.0000 0.0000 0.0000  4 Ta 2.65, 4 Ag 2.65, 4 Fe 2.86
Ta 0.5000 0.5000 0.0000  8 Fe 2.65, 4 Ag 2.86
Ag 0.5000 0.0000 0.5000  8 Fe 2.65, 4 Ta 2.86
Fe 0.0000 0.5000 0.5000  4 Ta 2.65, 4 Ag 2.65, 4 Fe 2.86

Calculated values
Energy above the most stable polymorph in this dataset, meV per atom: 39
Space group: No. 123
ΔH_f (0 K), eV/atom: 0.2355

9.
Below is a geometry-optimized Rb5PmTe4 structure, with properties calculated at the PBE level.

a = 5.1395 Å, b = 9.3589 Å, c = 11.2656 Å
α = 114.68°, β = 103.19°, γ = 90.00°
With the nearest neighbours (Å) after each atom.
Element x y z (fractional)
Rb 0.5000 0.5000 0.0000  4 Te 3.66
Te 0.9997 0.7774 0.9993  2 Pm 3.31, 4 Rb 3.45-3.66
Rb 0.8261 0.5741 0.6522  3 Te 3.45-3.50
Te 0.6684 0.1671 0.3369  1 Pm 3.34, 4 Rb 3.50
Rb 0.1739 0.4259 0.3478  3 Te 3.45-3.50
Rb 0.8267 0.0821 0.6534  3 Te 3.46-3.50
Pm 0.5000 0.0000 0.0000  6 Te 3.31-3.34
Te 0.3316 0.8329 0.6631  1 Pm 3.34, 4 Rb 3.50
Rb 0.1733 0.9179 0.3466  3 Te 3.46-3.50
Te 0.0003 0.2226 0.0007  2 Pm 3.31, 4 Rb 3.45-3.66

Calculated values
Uncorrected formation energy, eV per atom: -1.04
Space group: No. 12

10.
Below is a geometry-optimized Tb2Pr6NdY3 structure, with properties calculated at the PBE level.

a = 6.3450 Å, b = 6.3450 Å, c = 11.9923 Å
α = 95.05°, β = 95.05°, γ = 120.02°
With the nearest neighbours (Å) after each atom.
Element x y z (fractional)
Pr 0.2497 0.2497 0.7492  3 Y 3.62, 2 Tb 3.64, 1 Nd 3.64, 6 Pr 3.66-3.67
Pr 0.7503 0.7503 0.2508  3 Y 3.62, 2 Tb 3.64, 1 Nd 3.64, 6 Pr 3.66-3.67
Pr 0.5818 0.9158 0.7492  3 Y 3.62-3.63, 2 Tb 3.63-3.64, 1 Nd 3.64, 6 Pr 3.66-3.67
Tb 0.6665 0.3335 0.0000  6 Pr 3.63-3.64, 3 Tb 3.66, 3 Nd 3.66-3.67
Pr 0.9158 0.5818 0.7492  3 Y 3.62-3.63, 2 Tb 3.63-3.64, 1 Nd 3.64, 6 Pr 3.66-3.67
Pr 0.0842 0.4182 0.2508  3 Y 3.62-3.63, 2 Tb 3.63-3.64, 1 Nd 3.64, 6 Pr 3.66-3.67
Pr 0.4182 0.0842 0.2508  3 Y 3.62-3.63, 2 Tb 3.63-3.64, 1 Nd 3.64, 6 Pr 3.66-3.67
Y 0.1668 0.8332 0.5000  6 Pr 3.62-3.63, 6 Y 3.66-3.67
Tb 0.3335 0.6665 0.0000  6 Pr 3.63-3.64, 3 Tb 3.66, 3 Nd 3.66-3.67
Nd 0.0000 0.0000 0.0000  6 Pr 3.64, 6 Tb 3.66-3.67
Y 0.8332 0.1668 0.5000  6 Pr 3.62-3.63, 6 Y 3.66-3.67
Y 0.5000 0.5000 0.5000  6 Pr 3.62, 6 Y 3.66

Calculated values
Space group: No. 12
ΔH_f (0 K), eV/atom: 0.0089

11.
Below is a geometry-optimized TlPAu structure, with properties calculated at the PBE level.

a = 3.5506 Å, b = 4.4070 Å, c = 10.6984 Å
α = 90.00°, β = 90.00°, γ = 90.00°
With the nearest neighbours (Å) after each atom.
Element x y z (fractional)
Au 0.0000 0.0000 0.2003  2 P 2.38
Tl 0.5000 0.5000 0.4918  2 P 2.68, 2 Au 2.85
Au 0.0000 0.5000 0.7003  2 P 2.38
P 0.5000 0.5000 0.8485  2 Au 2.38
P 0.5000 0.0000 0.3485  2 Au 2.38
Tl 0.5000 0.0000 0.9918  2 P 2.68, 2 Au 2.85

Calculated values
Energy above the most stable polymorph in this dataset, meV per atom: 280
Space group: No. 38
ΔH_f (0 K), eV/atom: 0.2163